PmPrSc4 | PBE | optimized geometry

a b c (Å): 8.539 5.401 9.923
angles (deg): 90.01 104.96 129.21
Atoms (fractional coordinates):
1 Sc 0.458 0.708 0.917
2 Sc 0.207 0.957 0.417
3 Sc 0.710 0.460 0.417
4 Sc 0.959 0.209 0.917
5 Sc 0.290 0.540 0.583
6 Sc 0.041 0.791 0.083
7 Sc 0.542 0.292 0.083
8 Sc 0.793 0.043 0.583
9 Pr 0.376 0.626 0.252
10 Pr 0.624 0.374 0.748
11 Pm 0.874 0.124 0.248
12 Pm 0.126 0.876 0.752

The calculation puts the total energy at -68.731 eV per cell. The value obtained for the formation energy is 0.0818 eV per atom. As for the volume: 334.3 Å³/cell. The space group is Cmcm.

---

NbSb2ClF | PBE | optimized geometry

a b c (Å): 5.455 4.134 5.455
angles (deg): 90.00 90.00 90.00
Atoms (fractional coordinates):
1 Cl 0.500 0.500 0.500
2 F 0.000 0.500 0.000
3 Sb 0.000 0.000 0.500
4 Sb 0.500 0.000 0.000
5 Nb 0.000 0.000 0.000

The calculation puts the total energy at -24.884 eV per cell. For the uncorrected formation energy, the calculation gives -0.5702 eV per atom. As for the volume: 123.0 Å³/cell. The space group is P4/mmm.

---

Li5Al5Cu2 | PBE | optimized geometry

a b c (Å): 4.418 5.045 9.076
angles (deg): 74.06 75.91 64.04
Atoms (fractional coordinates):
1 Li 0.500 0.500 0.500
2 Li 0.684 0.641 0.991
3 Li 0.569 0.098 0.763
4 Li 0.316 0.359 0.009
5 Li 0.431 0.902 0.237
6 Al 0.257 0.742 0.744
7 Al 0.838 0.816 0.508
8 Al 0.162 0.184 0.492
9 Al 0.000 0.000 0.000
10 Al 0.743 0.258 0.256
11 Cu 0.077 0.590 0.256
12 Cu 0.923 0.410 0.744

The calculation puts the total energy at -38.596 eV per cell. The value obtained for the formation energy is -0.1768 eV per atom. As for the volume: 173.1 Å³/cell. The space group is C2/m.